# 1
Tc2PtAu | PBE | optimized geometry

Values from the calculation:
The value obtained for the formation enthalpy at 0 K is 408 meV per atom. The density of states at the Fermi level comes out at 4.1 states/eV/cell. The calculation puts the total energy at -7.10 eV per atom.

Cell: 4.486 4.486 4.486 Å, 60.00 60.00 60.00°
Each line ends with the local moment (μB).
Sites, in units of the cell vectors:
Au 0.500 0.500 0.500  -0.01
Pt 0.750 0.750 0.750  0.21
Tc 0.000 0.000 0.000  1.30
Tc 0.250 0.250 0.250  -0.36

---

# 2
Tc2PtAu | PBE | optimized geometry

Values from the calculation:
The value obtained for the formation enthalpy at 0 K is 138 meV per atom. The density of states at the Fermi level comes out at 4.0 states/eV/cell. The calculation puts the total energy at -7.37 eV per atom.

Cell: 4.833 4.833 4.833 Å, 131.59 131.59 70.87°
Sites, in units of the cell vectors:
Au 0.500 0.500 0.000
Pt 0.750 0.250 0.500
Tc 0.000 0.000 0.000
Tc 0.250 0.750 0.500